[1]
The following is a PBE calculation of crystalline TbTmIn3 at its relaxed geometry, from the Alexandria database.

abc: 5.8088 5.8088 11.7387
angles: 104.32 104.32 90.00
Last column: nearest neighbours and their distance in Å.
Positions (direct):
Tm: 0.8298 0.3298 0.6596  8 In 3.31-3.49, 1 Tm 3.51
Tb: 0.0000 0.0000 0.0000  4 In 3.07
Tm: 0.6702 0.1702 0.3404  8 In 3.31-3.49, 1 Tm 3.51
In: 0.1294 0.8771 0.7543  2 In 2.88-2.93, 2 Tb 3.07-3.14
In: 0.1229 0.8706 0.2457  2 In 2.88-2.93, 2 Tb 3.07-3.14
In: 0.7420 0.7420 0.4841  2 Tb 2.91
In: 0.2580 0.2580 0.5159  2 Tb 2.91
In: 0.6249 0.8771 0.7543  2 In 2.88-2.93, 2 Tb 3.07-3.14
Tb: 0.2500 0.7500 0.5000  8 In 2.91-3.14
In: 0.1229 0.3751 0.2457  2 In 2.88-2.93, 2 Tb 3.07-3.14

Values from the calculation:
formation energy from the elements	0.16	eV/atom

=====

[2]
The following is a PBE calculation of crystalline Tb3Tm2In2 at its relaxed geometry, from the Alexandria database.

abc: 3.4567 7.9006 8.5673
angles: 117.96 101.64 90.00
Last column: nearest neighbours and their distance in Å.
Positions (direct):
Tm: 0.1367 0.3036 0.2735  4 In 3.30-3.45, 4 Tb 3.33-3.47, 2 Tm 3.46
In: 0.5656 0.9010 0.1311  3 In 3.25-3.46, 4 Tm 3.30-3.45, 5 Tb 3.30-3.40
Tb: 0.7893 0.2056 0.5787  5 Tb 3.17-3.46, 3 In 3.35-3.40, 3 Tm 3.46-3.47
Tb: 0.0000 0.5000 0.0000  4 Tb 3.17-3.46, 4 In 3.30, 2 Tm 3.33
In: 0.4344 0.0990 0.8689  3 In 3.25-3.46, 4 Tm 3.30-3.45, 5 Tb 3.30-3.40
Tm: 0.8633 0.6964 0.7265  4 In 3.30-3.45, 4 Tb 3.33-3.47, 2 Tm 3.46
Tb: 0.2107 0.7944 0.4213  5 Tb 3.17-3.46, 3 In 3.35-3.40, 3 Tm 3.46-3.47

Values from the calculation:
energy above the most stable polymorph in this dataset	51.5	meV/atom
formation energy from the elements	-0.11	eV/atom

=====

[3]
The following is a PBE calculation of crystalline Tb5Tm3In at its relaxed geometry, from the Alexandria database.

abc: 7.8076 7.8076 11.2528
angles: 84.93 84.93 60.20
Last column: nearest neighbours and their distance in Å.
Positions (direct):
Tb: 0.2386 0.2386 0.9645  2 Tm 3.20-3.21, 1 In 3.30
Tb: 0.0835 0.6600 0.7578  3 Tb 3.14-3.50, 1 Tm 3.23, 1 In 3.45
Tb: 0.6600 0.0835 0.7578  3 Tb 3.14-3.50, 1 Tm 3.23, 1 In 3.45
In: 0.0966 0.0966 0.7423  3 Tm 3.06-3.15, 1 Tb 3.30
Tm: 0.0000 0.0000 0.0000  2 Tb 2.60
Tm: 0.7384 0.7384 0.4763  1 In 3.15, 1 Tb 3.44
Tb: 0.7614 0.7614 0.0355  2 Tm 3.20-3.21, 1 In 3.30
Tm: 0.3342 0.3342 0.2135  4 Tb 2.91-3.23
Tm: 0.0000 0.0000 0.5000  2 In 3.14
Tm: 0.2616 0.2616 0.5237  1 In 3.15, 1 Tb 3.44
Tb: 0.9165 0.3400 0.2422  3 Tb 3.14-3.50, 1 Tm 3.23, 1 In 3.45
Tb: 0.5059 0.5059 0.6319  1 Tm 2.91, 3 Tb 2.99-3.14
Tm: 0.6658 0.6658 0.7865  4 Tb 2.91-3.23
Tb: 0.6678 0.3322 0.0000  1 Tm 2.60, 1 Tb 2.63
Tb: 0.4941 0.4941 0.3681  1 Tm 2.91, 3 Tb 2.99-3.14
Tb: 0.3400 0.9165 0.2422  3 Tb 3.14-3.50, 1 Tm 3.23, 1 In 3.45
In: 0.9034 0.9034 0.2577  3 Tm 3.06-3.15, 1 Tb 3.30
Tb: 0.3322 0.6678 0.0000  1 Tm 2.60, 1 Tb 2.63

Values from the calculation:
formation energy from the elements	0.42	eV/atom

=====

[4]
The following is a PBE calculation of crystalline TbTmIn at its relaxed geometry, from the Alexandria database.

abc: 4.6089 4.6089 8.2817
angles: 90.00 90.00 90.00
Last column: nearest neighbours and their distance in Å.
Positions (direct):
In: 0.7500 0.2500 0.7318  5 Tb 3.16-3.33, 4 Tm 3.20
Tm: 0.2500 0.2500 0.0000  4 In 3.20, 4 Tm 3.26
Tb: 0.7500 0.2500 0.3506  5 In 3.16-3.33
Tm: 0.7500 0.7500 0.0000  4 In 3.20, 4 Tm 3.26
Tb: 0.2500 0.7500 0.6494  5 In 3.16-3.33
In: 0.2500 0.7500 0.2682  5 Tb 3.16-3.33, 4 Tm 3.20

Values from the calculation:
energy above the most stable polymorph in this dataset	38.5	meV/atom
formation energy from the elements	-0.27	eV/atom

=====

[5]
The following is a PBE calculation of crystalline TbTm2In at its relaxed geometry, from the Alexandria database.

abc: 4.8071 4.8095 4.8095
angles: 90.00 90.00 90.00
Last column: nearest neighbours and their distance in Å.
Positions (direct):
Tm: 0.0000 0.5000 0.0000  4 Tb 3.40, 4 In 3.40, 4 Tm 3.40
Tb: 0.5000 0.0000 0.0000  8 Tm 3.40, 4 In 3.40
Tm: 0.0000 0.0000 0.5000  4 Tb 3.40, 4 In 3.40, 4 Tm 3.40
In: 0.5000 0.5000 0.5000  8 Tm 3.40, 4 Tb 3.40

Values from the calculation:
energy above the most stable polymorph in this dataset	0.0	meV/atom
formation energy from the elements	-0.26	eV/atom

=====

[6]
The following is a PBE calculation of crystalline Tb8Tm6In at its relaxed geometry, from the Alexandria database.

abc: 8.9009 8.9009 8.4647
angles: 58.28 58.28 60.00
Last column: nearest neighbours and their distance in Å.
Positions (direct):
Tm: 0.4507 0.8978 0.8893  3 Tb 3.28-3.39, 1 In 3.33, 4 Tm 3.53-3.57
Tb: 0.7131 0.1083 0.4253  5 Tb 3.35-3.38, 3 Tm 3.37-3.68, 1 In 3.45
Tb: 0.5761 0.5761 0.2718  4 Tb 3.07-3.38, 3 Tm 3.28
In: 0.0000 0.0000 0.0000  6 Tm 3.33, 6 Tb 3.45
Tm: 0.5493 0.1022 0.1107  3 Tb 3.28-3.39, 1 In 3.33, 4 Tm 3.53-3.57
Tb: 0.1083 0.7534 0.4253  5 Tb 3.35-3.38, 3 Tm 3.37-3.68, 1 In 3.45
Tb: 0.4239 0.4239 0.7282  4 Tb 3.07-3.38, 3 Tm 3.28
Tm: 0.7622 0.4507 0.8893  3 Tb 3.28-3.39, 1 In 3.33, 4 Tm 3.53-3.57
Tb: 0.7534 0.7131 0.4253  5 Tb 3.35-3.38, 3 Tm 3.37-3.68, 1 In 3.45
Tb: 0.2466 0.2869 0.5747  5 Tb 3.35-3.38, 3 Tm 3.37-3.68, 1 In 3.45
Tb: 0.2869 0.8917 0.5747  5 Tb 3.35-3.38, 3 Tm 3.37-3.68, 1 In 3.45
Tm: 0.2378 0.5493 0.1107  3 Tb 3.28-3.39, 1 In 3.33, 4 Tm 3.53-3.57
Tb: 0.8917 0.2466 0.5747  5 Tb 3.35-3.38, 3 Tm 3.37-3.68, 1 In 3.45
Tm: 0.1022 0.2378 0.1107  3 Tb 3.28-3.39, 1 In 3.33, 4 Tm 3.53-3.57
Tm: 0.8978 0.7622 0.8893  3 Tb 3.28-3.39, 1 In 3.33, 4 Tm 3.53-3.57

Values from the calculation:
energy above the most stable polymorph in this dataset	0.0	meV/atom
formation energy from the elements	0.03	eV/atom

=====

[7]
The following is a PBE calculation of crystalline Tb2Tm2In3 at its relaxed geometry, from the Alexandria database.

abc: 3.5293 3.5292 15.4206
angles: 96.61 83.39 90.01
Last column: nearest neighbours and their distance in Å.
Positions (direct):
In: 0.0000 0.0000 0.0000  8 Tb 3.29, 4 In 3.53
Tb: 0.4295 0.5706 0.1410  8 In 3.29, 4 Tb 3.53
Tm: 0.7097 0.2905 0.5805  4 In 3.25-3.26, 8 Tm 3.50-3.53
Tb: 0.5705 0.4294 0.8590  8 In 3.29, 4 Tb 3.53
In: 0.1410 0.8590 0.7179  4 Tm 3.25-3.26, 4 Tb 3.29, 4 In 3.53
In: 0.8590 0.1410 0.2821  4 Tm 3.25-3.26, 4 Tb 3.29, 4 In 3.53
Tm: 0.2903 0.7095 0.4195  4 In 3.25-3.26, 8 Tm 3.50-3.53

Values from the calculation:
energy above the most stable polymorph in this dataset	0.0	meV/atom
formation energy from the elements	-0.41	eV/atom

=====

[8]
The following is a PBE calculation of crystalline TbTmIn at its relaxed geometry, from the Alexandria database.

abc: 3.5227 3.5227 7.2775
angles: 104.01 104.01 90.00
Last column: nearest neighbours and their distance in Å.
Positions (direct):
Tm: 0.2723 0.2723 0.5446  4 In 3.26, 4 Tm 3.52, 4 Tb 3.57
Tb: 0.9593 0.9593 0.9186  4 In 3.31, 4 Tb 3.52, 4 Tm 3.57
In: 0.6184 0.6184 0.2368  4 Tm 3.26, 4 Tb 3.31, 4 In 3.52

Values from the calculation:
energy above the most stable polymorph in this dataset	0.0	meV/atom
formation energy from the elements	-0.31	eV/atom

=====

[9]
The following is a PBE calculation of crystalline Tb2TmIn5 at its relaxed geometry, from the Alexandria database.

abc: 6.5043 6.5043 6.5043
angles: 100.05 114.38 114.38
Last column: nearest neighbours and their distance in Å.
Positions (direct):
In: 0.0000 0.6921 0.2570  4 In 3.07-3.33, 1 Tm 3.18, 4 Tb 3.22-3.31
Tm: 0.0000 0.1514 0.1514  9 In 3.18-3.46
In: 0.4351 0.6921 0.6921  4 In 3.07-3.33, 1 Tm 3.18, 4 Tb 3.22-3.31
Tb: 0.5000 0.7329 0.2329  10 In 3.22-3.53, 2 Tm 3.59
In: 0.0000 0.2570 0.6921  4 In 3.07-3.33, 1 Tm 3.18, 4 Tb 3.22-3.31
In: 0.0000 0.7627 0.7627  8 In 3.24-3.33, 1 Tm 3.25, 4 Tb 3.53
Tb: 0.5000 0.2329 0.7329  10 In 3.22-3.53, 2 Tm 3.59
In: 0.5649 0.2570 0.2570  4 In 3.07-3.33, 1 Tm 3.18, 4 Tb 3.22-3.31

Values from the calculation:
formation energy from the elements	-0.42	eV/atom

=====

[10]
The following is a PBE calculation of crystalline TbTm2In at its relaxed geometry, from the Alexandria database.

abc: 3.5313 3.5313 11.0627
angles: 80.82 80.82 60.00
Last column: nearest neighbours and their distance in Å.
Positions (direct):
In: 0.6665 0.6665 0.0004  6 Tm 3.28-3.29, 6 In 3.53
Tb: 0.5000 0.5000 0.5001  6 Tm 3.51-3.52, 6 Tb 3.53
Tm: 0.0789 0.0789 0.7634  3 In 3.29, 3 Tb 3.51, 6 Tm 3.53
Tm: 0.2546 0.2546 0.2362  3 In 3.28, 3 Tb 3.52, 6 Tm 3.53

Values from the calculation:
energy above the most stable polymorph in this dataset	118.7	meV/atom
formation energy from the elements	-0.14	eV/atom

=====

[11]
The following is a PBE calculation of crystalline Tb8Tm2In at its relaxed geometry, from the Alexandria database.

abc: 5.3437 8.2979 8.9908
angles: 114.88 107.29 90.00
Last column: nearest neighbours and their distance in Å.
Positions (direct):
In: 0.5000 0.0000 0.0000  8 Tb 3.24-3.61
Tm: 0.7997 0.3501 0.5993  9 Tb 3.22-3.58
Tb: 0.1594 0.2023 0.3189  7 Tb 3.37-3.70, 3 Tm 3.44-3.46, 2 In 3.66
Tb: 0.6695 0.9040 0.3390  1 In 3.34, 3 Tm 3.38-3.58, 8 Tb 3.42-3.70
Tb: 0.3305 0.0960 0.6610  1 In 3.34, 3 Tm 3.38-3.58, 8 Tb 3.42-3.70
Tb: 0.0196 0.7269 0.0391  7 Tb 3.34-3.60, 2 Tm 3.43-3.69, 2 In 3.61
Tb: 0.9804 0.2731 0.9609  7 Tb 3.34-3.60, 2 Tm 3.43-3.69, 2 In 3.61
Tb: 0.8406 0.7977 0.6811  7 Tb 3.37-3.70, 3 Tm 3.44-3.46, 2 In 3.66
Tm: 0.2003 0.6499 0.4007  9 Tb 3.22-3.58
Tb: 0.3913 0.5666 0.7826  2 Tm 3.22, 1 In 3.24, 3 Tb 3.34-3.57
Tb: 0.6087 0.4334 0.2174  2 Tm 3.22, 1 In 3.24, 3 Tb 3.34-3.57

Values from the calculation:
formation energy from the elements	-0.01	eV/atom

=====

[12]
The following is a PBE calculation of crystalline Tb2Tm3In7 at its relaxed geometry, from the Alexandria database.

abc: 5.2426 5.1021 13.1327
angles: 101.20 90.00 90.00
Last column: nearest neighbours and their distance in Å.
Positions (direct):
In: 0.0000 0.0000 0.0000  8 In 3.16-3.28
Tm: 0.5000 0.6495 0.2989  6 In 3.17-3.28
In: 0.0000 0.2779 0.5559  2 In 2.93, 2 Tb 3.18, 2 Tm 3.22
In: 0.5000 0.0766 0.1532  4 Tm 3.17-3.23, 2 Tb 3.21, 2 In 3.28
In: 0.5000 0.9234 0.8468  4 Tm 3.17-3.23, 2 Tb 3.21, 2 In 3.28
Tb: 0.0000 0.8514 0.7028  7 In 3.18-3.33
Tm: 0.5000 0.5000 0.0000  8 In 3.22-3.23
Tm: 0.5000 0.3505 0.7011  6 In 3.17-3.28
In: 0.0000 0.7221 0.4441  2 In 2.93, 2 Tb 3.18, 2 Tm 3.22
In: 0.0000 0.4273 0.8547  2 In 3.16, 2 Tb 3.22, 4 Tm 3.22-3.28
Tb: 0.0000 0.1486 0.2972  7 In 3.18-3.33
In: 0.0000 0.5727 0.1453  2 In 3.16, 2 Tb 3.22, 4 Tm 3.22-3.28

Values from the calculation:
formation energy from the elements	-0.18	eV/atom